No. 1
SrCdAs2: optimized geometry, PBEsol.

Properties
The calculation puts the density of states at the Fermi level at 0.710 states/eV per atom. The calculation puts the energy relative to the elements at -0.363 eV/atom. The calculation puts the final energy at -44.1 eV for the cell shown. The calculation puts the volume at 24.48 A^3/atom.

Unit cell a=4.7165 b=4.7165 c=15.2461 alpha=90.00 beta=90.00 gamma=120.00
Space group R-3m (No. 166, hexagonal axes)
Inequivalent atoms, fractional coordinates:
Sr: 0.0000 0.0000 0.0000
Cd: 0.0000 0.0000 0.5000
As: 0.0000 0.0000 0.2138


No. 2
SrCdAs2: optimized geometry, PBEsol.

Properties
The calculation puts the density of states at the Fermi level at 0.402 states/eV per atom. The calculation puts the energy relative to the elements at -0.325 eV/atom. The calculation puts the final energy at -29.1 eV for the cell shown. The calculation puts the volume at 22.82 A^3/atom.

Unit cell a=4.284 b=4.284 c=9.946 alpha=90.00 beta=90.00 gamma=90.00
Space group I-4m2 (No. 119)
Inequivalent atoms, fractional coordinates:
Sr: 0.000 0.000 0.000
Cd: 0.000 0.500 0.750
As: 0.000 0.000 0.500
As: 0.000 0.500 0.250


No. 3
SrCd2As2: optimized geometry, PBEsol.

Properties
The calculation puts the density of states at the Fermi level at 0.008 states/eV per atom. The calculation puts the energy relative to the elements at -0.624 eV/atom. The calculation puts the final energy at -17.6 eV for the cell shown. The calculation puts the volume at 25.00 A^3/atom.

Unit cell a=4.4369 b=4.4369 c=7.3332 alpha=90.00 beta=90.00 gamma=120.00
Space group P-3m1 (No. 164)
Inequivalent atoms, fractional coordinates:
Sr: 0.0000 0.0000 0.0000
Cd: 0.3333 0.6667 0.6321
As: 0.3333 0.6667 0.2484


No. 4
Sr2CdAs: optimized geometry, PBEsol.

Properties
The calculation puts the density of states at the Fermi level at 0.339 states/eV per atom. For the energy relative to the lowest polymorph listed for this composition, the calculation gives 0 meV per atom. The calculation puts the energy relative to the elements at -0.734 eV/atom. The calculation puts the final energy at -25.8 eV for the cell shown. The calculation puts the volume at 30.12 A^3/atom.

Unit cell a=4.496 b=4.539 c=11.809 alpha=90.00 beta=90.00 gamma=90.00
Space group Amm2 (No. 38)
Inequivalent atoms, fractional coordinates:
Sr: 0.000 0.000 0.000
Sr: 0.500 0.000 0.278
Cd: 0.000 0.000 0.712
As: 0.500 0.000 0.557


No. 5
Sr2CdAs: optimized geometry, PBEsol.

Properties
The calculation puts the density of states at the Fermi level at 0.741 states/eV per atom. For the energy relative to the lowest polymorph listed for this composition, the calculation gives 115 meV per atom. The calculation puts the energy relative to the elements at -0.619 eV/atom. The calculation puts the final energy at -49.8 eV for the cell shown. The calculation puts the volume at 28.82 A^3/atom.

Unit cell a=7.725 b=7.725 c=7.725 alpha=90.00 beta=90.00 gamma=90.00
Space group Fm-3m (No. 225)
Inequivalent atoms, fractional coordinates:
Sr: 0.250 0.250 0.250
Cd: 0.000 0.000 0.000
As: 0.000 0.000 0.500


No. 6
SrTa2CdAs: optimized geometry, PBEsol.

Properties
The calculation puts the density of states at the Fermi level at 0.936 states/eV per atom. The calculation puts the energy relative to the elements at 1.612 eV/atom. The calculation puts the final energy at -25.2 eV for the cell shown. The calculation puts the volume at 27.58 A^3/atom.

Unit cell a=5.102 b=5.102 c=5.298 alpha=90.00 beta=90.00 gamma=90.00
Space group P4/mmm (No. 123)
Inequivalent atoms, fractional coordinates:
Sr: 0.000 0.000 0.000
Ta: 0.000 0.500 0.500
Cd: 0.500 0.500 0.500
As: 0.500 0.500 0.000


No. 7
TaCd2As: optimized geometry, PBEsol.

Properties
The calculation puts the density of states at the Fermi level at 0.217 states/eV per atom. The calculation puts the energy relative to the elements at 0.164 eV/atom. The calculation puts the final energy at -19.4 eV for the cell shown. The calculation puts the volume at 18.96 A^3/atom.

Unit cell a=2.826 b=4.793 c=5.640 alpha=90.00 beta=96.91 gamma=90.00
Space group Pm (No. 6)
Inequivalent atoms, fractional coordinates:
Ta: 0.000 0.000 0.000
Cd: 0.396 0.500 0.730
Cd: 0.624 0.000 0.480
As: 0.177 0.500 0.192


No. 8
TaCd2As: optimized geometry, PBEsol.

Properties
The calculation puts the density of states at the Fermi level at 0.594 states/eV per atom. The calculation puts the energy relative to the elements at 0.130 eV/atom. The calculation puts the final energy at -19.5 eV for the cell shown. The calculation puts the volume at 19.59 A^3/atom.

Unit cell a=2.932 b=2.932 c=9.115 alpha=90.00 beta=90.00 gamma=90.00
Space group P4mm (No. 99)
Inequivalent atoms, fractional coordinates:
Ta: 0.000 0.000 0.000
Cd: 0.000 0.000 0.508
Cd: 0.500 0.500 0.763
As: 0.500 0.500 0.207